Record 1
Tm4Sn2C: relaxed, PBE.

a b c (Å): 4.7189 4.7189 15.6929
angles (deg): 90.00 90.00 90.00
Last column: nearest neighbours and their distance in Å.
Space group I4/mmm (No. 139)
Unique sites:
Tm 0.0000 0.0000 0.1580 x4  1 C 2.48
Tm 0.0000 0.5000 0.0000 x4  2 C 2.36
Sn 0.0000 0.0000 0.3590 x4  9 Tm 3.15-3.35
C 0.0000 0.0000 0.0000 x2  6 Tm 2.36-2.48

Record 2
Nd3PbC: relaxed, PBE.

a b c (Å): 5.1371 5.1371 5.1371
angles (deg): 90.00 90.00 90.00
Last column: nearest neighbours and their distance in Å.
Space group Pm-3m (No. 221)
Unique sites:
Nd 0.0000 0.0000 0.5000 x3  2 C 2.57
Pb 0.5000 0.5000 0.5000 x1  12 Nd 3.63
C 0.0000 0.0000 0.0000 x1  6 Nd 2.57

Calculated values
**Energy above the most stable polymorph in this dataset**: 0 meV/atom

Record 3
ZrS2: relaxed, PBE.

a b c (Å): 3.5729 6.1895 34.8093
angles (deg): 90.00 90.00 90.00
Last column: nearest neighbours and their distance in Å.
Space group C222_1 (No. 20)
Unique sites:
Zr 0.2404 0.0006 0.4114 x8  6 S 2.60
S 0.2404 0.3339 0.3661 x8  3 Zr 2.60
S 0.2404 0.3339 0.4567 x8  3 Zr 2.60

Calculated total magnetic moment, 0.0, 0.0, 0.0 μB/f.u. (same order as the records).
Calculated energy, -5.701, -5.851, -6.933 eV per atom (same order as the records).